Sm6SnTe3Se2: relaxed, PBE-GGA.

Cell lengths 7.496, 7.496, 7.690 Å; angles 99.36, 99.36, 119.95 degrees
Fractional coordinates of all 12 atoms:
Sm1 0.267 0.267 0.775
Sm2 0.733 0.733 0.225
Se1 0.332 0.668 0.000
Sm3 0.417 0.076 0.228
Te1 0.500 0.500 0.500
Sn1 0.000 0.000 0.000
Sm4 0.924 0.583 0.772
Sm5 0.583 0.924 0.772
Se2 0.668 0.332 0.000
Te2 0.163 0.837 0.500
Te3 0.837 0.163 0.500
Sm6 0.076 0.417 0.228

Calculated values
Space-group type: C2/m (12)
Density (g/cm3): 7.32
Formation energy (no corrections) (meV/atom): -1455
DOS at the Fermi energy (states/eV/atom): 0.50